[1]
YCo4As | meta-GGA SCAN | single point on PBEsol structure

a b c (Å): 4.8693 4.8693 4.8693
angles (deg): 60.00 60.00 60.00
With the nearest neighbours (Å) after each atom.
Fractional coordinates of all 6 atoms:
Y 0.7500 0.7500 0.7500  12 Co 2.86, 4 As 2.98
Co 0.3745 0.3745 0.3745  6 Co 2.42-2.45
As 0.0000 0.0000 0.0000  12 Co 2.85, 4 Y 2.98
Co 0.3745 0.3745 0.8766  6 Co 2.42-2.45
Co 0.3745 0.8766 0.3745  6 Co 2.42-2.45
Co 0.8766 0.3745 0.3745  6 Co 2.42-2.45



[2]
YCoAs2 | meta-GGA SCAN | single point on PBEsol structure

a b c (Å): 3.0434 3.0434 8.1154
angles (deg): 90.00 90.00 90.00
With the nearest neighbours (Å) after each atom.
Fractional coordinates of all 4 atoms:
Y 0.5000 0.5000 0.7212  4 Co 2.97, 5 As 2.98-3.13, 4 Y 3.04
As 0.0000 0.0000 0.9746  4 Y 2.98, 4 As 3.04
As 0.5000 0.5000 0.3355  4 Co 2.41
Co 0.0000 0.0000 0.4687  4 As 2.41



[3]
Y2CoAs | meta-GGA SCAN | single point on PBEsol structure

a b c (Å): 3.5009 3.5009 6.5435
angles (deg): 90.00 90.00 90.00
With the nearest neighbours (Å) after each atom.
Fractional coordinates of all 4 atoms:
As 0.5000 0.5000 0.0000  8 Y 2.98, 2 Co 3.27
Co 0.5000 0.5000 0.5000  8 Y 2.95, 2 As 3.27
Y 0.0000 0.0000 0.7465  4 Co 2.95, 4 As 2.98, 1 Y 3.23
Y 0.0000 0.0000 0.2535  4 Co 2.95, 4 As 2.98, 1 Y 3.23



[4]
Y2CoAs | meta-GGA SCAN | single point on PBEsol structure

a b c (Å): 3.5609 4.1234 6.1666
angles (deg): 109.53 106.78 90.00
With the nearest neighbours (Å) after each atom.
Fractional coordinates of all 4 atoms:
Co 0.2108 0.7108 0.4216  2 As 2.43
As 0.5618 0.5618 0.1236  2 Co 2.43
Y 0.7477 0.2477 0.4954  4 Co 2.75, 2 As 2.91
Y 0.9797 0.9797 0.9594  4 As 2.87



[5]
YCoAs2 | meta-GGA SCAN | single point on PBEsol structure

a b c (Å): 3.7433 4.2910 4.2860
angles (deg): 90.00 90.00 90.00
With the nearest neighbours (Å) after each atom.
Fractional coordinates of all 4 atoms:
As 0.0000 0.0000 0.0000  4 Y 2.85, 4 Co 2.85, 4 As 3.03
Y 0.5000 0.0000 0.5000  8 As 2.85, 4 Co 3.03
As 0.0000 0.5000 0.5000  4 Co 2.85, 4 Y 2.85, 4 As 3.03
Co 0.5000 0.5000 0.0000  8 As 2.85, 4 Y 3.03



[6]
ZnCo3As | meta-GGA SCAN | single point on PBEsol structure

a b c (Å): 4.2248 4.2248 4.2248
angles (deg): 90.00 90.00 90.00
With the nearest neighbours (Å) after each atom.
Fractional coordinates of all 5 atoms:
Co 0.0000 0.0000 0.5000  2 As 2.11
Zn 0.5000 0.5000 0.5000  12 Co 2.99
Co 0.0000 0.5000 0.0000  2 As 2.11
As 0.0000 0.0000 0.0000  6 Co 2.11
Co 0.5000 0.0000 0.0000  2 As 2.11



[7]
Zn2Co2As | meta-GGA SCAN | single point on PBEsol structure

a b c (Å): 3.2254 3.2254 6.7198
angles (deg): 103.89 103.89 90.00
With the nearest neighbours (Å) after each atom.
Fractional coordinates of all 5 atoms:
Zn 0.2500 0.7500 0.5000  4 Zn 2.28, 4 Co 2.55
Co 0.5940 0.5940 0.1880  1 Co 2.38, 4 Zn 2.55, 4 As 2.57
Zn 0.7500 0.2500 0.5000  4 Zn 2.28, 4 Co 2.55
Co 0.4060 0.4060 0.8120  1 Co 2.38, 4 Zn 2.55, 4 As 2.57
As 0.0000 0.0000 0.0000  8 Co 2.57



[8]
ZnCo2As | meta-GGA SCAN | single point on PBEsol structure

a b c (Å): 5.1904 5.1904 5.1904
angles (deg): 104.44 104.44 120.08
With the nearest neighbours (Å) after each atom.
Fractional coordinates of all 8 atoms:
Co 0.3427 0.8750 0.9677  2 As 2.21
Zn 0.7500 0.2500 0.5000  4 Co 2.48, 2 As 2.59
As 0.0000 0.0000 0.0000  4 Co 2.21
Co 0.9073 0.3750 0.0323  2 As 2.21
As 0.2500 0.7500 0.5000  4 Co 2.21
Zn 0.5000 0.5000 0.0000  4 Co 2.48, 2 As 2.59
Co 0.1250 0.0927 0.4677  2 As 2.21
Co 0.6250 0.6573 0.5323  2 As 2.21



[9]
ZnCoAs | meta-GGA SCAN | single point on PBEsol structure

a b c (Å): 2.9019 2.9019 5.7811
angles (deg): 90.00 90.00 120.00
With the nearest neighbours (Å) after each atom.
Fractional coordinates of all 3 atoms:
Zn 0.6667 0.3333 0.3635  3 Co 2.49
Co 0.3333 0.6667 0.6824  3 As 2.30, 3 Zn 2.49
As 0.0000 0.0000 0.9541  3 Co 2.30



[10]
ZrCoAs2 | meta-GGA SCAN | single point on PBEsol structure

a b c (Å): 3.4569 3.4569 5.4072
angles (deg): 90.00 90.00 90.00
With the nearest neighbours (Å) after each atom.
Fractional coordinates of all 4 atoms:
As 0.5000 0.5000 0.3034  4 Co 2.54, 2 Zr 2.62-2.78
Co 0.0000 0.0000 0.4332  5 As 2.48-2.54
As 0.0000 0.0000 0.9750  1 Co 2.48, 4 Zr 2.64
Zr 0.5000 0.5000 0.7884  6 As 2.62-2.78



[11]
ZrCo3As | meta-GGA SCAN | single point on PBEsol structure

a b c (Å): 4.2256 4.2256 4.2256
angles (deg): 90.00 90.00 90.00
With the nearest neighbours (Å) after each atom.
Fractional coordinates of all 5 atoms:
Zr 0.5000 0.5000 0.5000  12 Co 2.99
Co 0.0000 0.0000 0.5000  2 As 2.11
As 0.0000 0.0000 0.0000  6 Co 2.11
Co 0.0000 0.5000 0.0000  2 As 2.11
Co 0.5000 0.0000 0.0000  2 As 2.11



[12]
ZrCoAs2 | meta-GGA SCAN | single point on PBEsol structure

a b c (Å): 3.3079 4.4406 5.0286
angles (deg): 107.52 109.20 90.00
With the nearest neighbours (Å) after each atom.
Fractional coordinates of all 4 atoms:
Co 0.4631 0.4723 0.9261  4 As 2.39-2.46
As 0.7721 0.3139 0.5441  2 Co 2.39
Zr 0.2634 0.8134 0.5269  7 As 2.64-2.79, 2 Co 2.78-2.94
As 0.0014 0.9004 0.0029  2 Co 2.46, 3 Zr 2.64-2.73



| no. | E_tot (Ha/atom) |
| --- | --- |
| 1 | -0.71913 |
| 2 | -0.79424 |
| 3 | -0.88399 |
| 4 | -0.87801 |
| 5 | -0.80291 |
| 6 | -0.60249 |
| 7 | -0.59113 |
| 8 | -0.61273 |
| 9 | -0.62153 |
| 10 | -0.82671 |
| 11 | -0.74601 |
| 12 | -0.82659 |